# 1
# PBE Cs2ZnSeI6, relaxed
# Magnetic moment (μB/f.u.): 0.00
# Energy relative to the elements, uncorrected (eV/f.u.): -6.92
# Calculated volume (Å³/atom): 42.46
data_Cs2ZnSeI6
_chemical_formula_sum 'Cs4 Zn2 Se2 I12'
_cell_length_a 8.362
_cell_length_b 8.362
_cell_length_c 12.146
_cell_angle_alpha 90.00
_cell_angle_beta 90.00
_cell_angle_gamma 90.00
_space_group_name_H-M_alt 'I 4/m m m'
_space_group_IT_number 139
_space_group_name_Hall '-I 4 2'
loop_
_atom_site_label
_atom_site_type_symbol
_atom_site_fract_x
_atom_site_fract_y
_atom_site_fract_z
Cs1 Cs 0.000 0.500 0.250
Zn1 Zn 0.000 0.000 0.000
Se1 Se 0.000 0.000 0.500
I1 I 0.000 0.000 0.269
I2 I 0.234 0.234 0.000


# 2
# PBE Cs2ZnSeI, relaxed
# Magnetic moment (μB/f.u.): 0.00
# Energy relative to the elements, uncorrected (eV/f.u.): -4.64
# Calculated volume (Å³/atom): 50.60
data_Cs2ZnSeI
_chemical_formula_sum 'Cs2 Zn1 Se1 I1'
_cell_length_a 7.095
_cell_length_b 7.095
_cell_length_c 5.026
_cell_angle_alpha 90.00
_cell_angle_beta 90.00
_cell_angle_gamma 90.00
_space_group_name_H-M_alt 'P 4/m m m'
_space_group_IT_number 123
_space_group_name_Hall '-P 4 2'
loop_
_atom_site_label
_atom_site_type_symbol
_atom_site_fract_x
_atom_site_fract_y
_atom_site_fract_z
Cs1 Cs 0.000 0.500 0.000
Zn1 Zn 0.000 0.000 0.500
Se1 Se 0.000 0.000 0.000
I1 I 0.500 0.500 0.500


# 3
# PBE Cs3SiI6, relaxed
# Magnetic moment (μB/f.u.): 0.00
# Energy relative to the elements, uncorrected (eV/f.u.): -9.09
# Calculated volume (Å³/atom): 52.79
data_Cs3SiI6
_chemical_formula_sum 'Cs12 Si4 I24'
_cell_length_a 12.829
_cell_length_b 12.829
_cell_length_c 12.829
_cell_angle_alpha 90.00
_cell_angle_beta 90.00
_cell_angle_gamma 90.00
_space_group_name_H-M_alt 'F m -3 m'
_space_group_IT_number 225
_space_group_name_Hall '-F 4 2 3'
loop_
_atom_site_label
_atom_site_type_symbol
_atom_site_fract_x
_atom_site_fract_y
_atom_site_fract_z
Cs1 Cs 0.000 0.000 0.000
Cs2 Cs 0.250 0.250 0.250
Si1 Si 0.000 0.000 0.500
I1 I 0.000 0.000 0.281


# 4
# PBE Cs5SiTe4I2, relaxed
# Magnetic moment (μB/f.u.): 0.95
# Energy relative to the elements, uncorrected (eV/f.u.): -11.42
# Calculated volume (Å³/atom): 55.67
data_Cs5SiTe4I2
_chemical_formula_sum 'Cs10 Si2 Te8 I4'
_cell_length_a 11.606
_cell_length_b 12.440
_cell_length_c 9.255
_cell_angle_alpha 90.00
_cell_angle_beta 90.00
_cell_angle_gamma 90.00
_space_group_name_H-M_alt 'A m m 2'
_space_group_IT_number 38
loop_
_space_group_symop_operation_xyz
'x,y,z'
'-x,-y,z'
'-x,y,z'
'x,-y,z'
'x,y+1/2,z+1/2'
'-x,-y+1/2,z+1/2'
'-x,y+1/2,z+1/2'
'x,-y+1/2,z+1/2'
loop_
_atom_site_label
_atom_site_type_symbol
_atom_site_fract_x
_atom_site_fract_y
_atom_site_fract_z
Cs1 Cs 0.000 0.000 0.000
Cs2 Cs 0.265 0.204 0.473
Si1 Si 0.500 0.000 0.988
Te1 Te 0.318 0.000 0.133
Te2 Te 0.500 0.135 0.777
I1 I 0.000 0.232 0.726


# 5
# PBE Cs2SiTeI6, relaxed
# Magnetic moment (μB/f.u.): 0.00
# Energy relative to the elements, uncorrected (eV/f.u.): -6.50
# Calculated volume (Å³/atom): 43.71
data_Cs2SiTeI6
_chemical_formula_sum 'Cs4 Si2 Te2 I12'
_cell_length_a 8.490
_cell_length_b 8.490
_cell_length_c 12.129
_cell_angle_alpha 90.00
_cell_angle_beta 90.00
_cell_angle_gamma 90.00
_space_group_name_H-M_alt 'I 4/m m m'
_space_group_IT_number 139
_space_group_name_Hall '-I 4 2'
loop_
_atom_site_label
_atom_site_type_symbol
_atom_site_fract_x
_atom_site_fract_y
_atom_site_fract_z
Cs1 Cs 0.000 0.500 0.250
Si1 Si 0.000 0.000 0.000
Te1 Te 0.000 0.000 0.500
I1 I 0.000 0.000 0.234
I2 I 0.237 0.237 0.000


# 6
# PBE CsSiTeI2, relaxed
# Magnetic moment (μB/f.u.): 0.35
# Energy relative to the elements, uncorrected (eV/f.u.): 4.44
# Calculated volume (Å³/atom): 59.59
data_CsSiTeI2
_chemical_formula_sum 'Cs1 Si1 Te1 I2'
_cell_length_a 6.871
_cell_length_b 6.871
_cell_length_c 6.312
_cell_angle_alpha 90.00
_cell_angle_beta 90.00
_cell_angle_gamma 90.00
_space_group_name_H-M_alt 'P 4/m m m'
_space_group_IT_number 123
_space_group_name_Hall '-P 4 2'
loop_
_atom_site_label
_atom_site_type_symbol
_atom_site_fract_x
_atom_site_fract_y
_atom_site_fract_z
Cs1 Cs 0.000 0.000 0.000
Si1 Si 0.500 0.500 0.500
Te1 Te 0.000 0.000 0.500
I1 I 0.000 0.500 0.000


# 7
# PBE CsSiTeI2, relaxed
# Magnetic moment (μB/f.u.): 0.27
# Energy relative to the elements, uncorrected (eV/f.u.): -2.18
# Calculated volume (Å³/atom): 38.47
data_CsSiTeI2
_chemical_formula_sum 'Cs1 Si1 Te1 I2'
_cell_length_a 5.932
_cell_length_b 5.932
_cell_length_c 5.467
_cell_angle_alpha 90.00
_cell_angle_beta 90.00
_cell_angle_gamma 90.00
_space_group_name_H-M_alt 'P 4/m m m'
_space_group_IT_number 123
_space_group_name_Hall '-P 4 2'
loop_
_atom_site_label
_atom_site_type_symbol
_atom_site_fract_x
_atom_site_fract_y
_atom_site_fract_z
Cs1 Cs 0.000 0.000 0.000
Si1 Si 0.500 0.500 0.500
Te1 Te 0.500 0.500 0.000
I1 I 0.000 0.500 0.500


# 8
# PBE Cs2TlSiI6, relaxed
# Magnetic moment (μB/f.u.): 0.00
# Energy relative to the elements, uncorrected (eV/f.u.): -7.95
# Calculated volume (Å³/atom): 45.69
data_Cs2TlSiI6
_chemical_formula_sum 'Cs4 Tl2 Si2 I12'
_cell_length_a 8.655
_cell_length_b 8.655
_cell_length_c 12.200
_cell_angle_alpha 90.00
_cell_angle_beta 90.00
_cell_angle_gamma 90.00
_space_group_name_H-M_alt 'I 4/m m m'
_space_group_IT_number 139
_space_group_name_Hall '-I 4 2'
loop_
_atom_site_label
_atom_site_type_symbol
_atom_site_fract_x
_atom_site_fract_y
_atom_site_fract_z
Cs1 Cs 0.000 0.500 0.250
Tl1 Tl 0.000 0.000 0.000
Si1 Si 0.000 0.000 0.500
I1 I 0.000 0.000 0.269
I2 I 0.230 0.230 0.500


# 9
# PBE Cs4SmI7, relaxed
# Magnetic moment (μB/f.u.): 0.00
# Energy relative to the elements, uncorrected (eV/f.u.): -17.86
# Calculated volume (Å³/atom): 60.28
data_Cs4SmI7
_chemical_formula_sum 'Cs8 Sm2 I14'
_cell_length_a 20.026
_cell_length_b 6.262
_cell_length_c 12.744
_cell_angle_alpha 90.00
_cell_angle_beta 115.14
_cell_angle_gamma 90.00
_space_group_name_H-M_alt 'C 1 2/m 1'
_space_group_IT_number 12
loop_
_space_group_symop_operation_xyz
'x,y,z'
'-x,-y,-z'
'-x,y,-z'
'x,-y,z'
'x+1/2,y+1/2,z'
'-x+1/2,-y+1/2,-z'
'-x+1/2,y+1/2,-z'
'x+1/2,-y+1/2,z'
loop_
_atom_site_label
_atom_site_type_symbol
_atom_site_fract_x
_atom_site_fract_y
_atom_site_fract_z
Cs1 Cs 0.037 0.000 0.223
Cs2 Cs 0.233 0.000 0.819
Sm1 Sm 0.000 0.500 0.500
I1 I 0.000 0.000 0.500
I2 I 0.096 0.500 0.763
I3 I 0.136 0.500 0.446
I4 I 0.149 0.000 0.050


# 10
# PBE CsSmI3, relaxed
# Magnetic moment (μB/f.u.): 0.01
# Energy relative to the elements, uncorrected (eV/f.u.): -6.53
# Calculated volume (Å³/atom): 44.26
data_CsSmI3
_chemical_formula_sum 'Cs4 Sm4 I12'
_cell_length_a 4.275
_cell_length_b 17.008
_cell_length_c 12.175
_cell_angle_alpha 90.00
_cell_angle_beta 90.00
_cell_angle_gamma 90.00
_space_group_name_H-M_alt 'C m c m'
_space_group_IT_number 63
_space_group_name_Hall '-C 2c 2'
loop_
_atom_site_label
_atom_site_type_symbol
_atom_site_fract_x
_atom_site_fract_y
_atom_site_fract_z
Cs1 Cs 0.000 0.241 0.250
Sm1 Sm 0.000 0.500 0.000
I1 I 0.000 0.135 0.544
I2 I 0.000 0.455 0.750


# 11
# PBE Cs2Sm2I7, relaxed
# Magnetic moment (μB/f.u.): 0.97
# Energy relative to the elements, uncorrected (eV/f.u.): -14.53
# Calculated volume (Å³/atom): 49.72
data_Cs2Sm2I7
_chemical_formula_sum 'Cs4 Sm4 I14'
_cell_length_a 13.734
_cell_length_b 9.600
_cell_length_c 8.367
_cell_angle_alpha 90.00
_cell_angle_beta 97.40
_cell_angle_gamma 90.00
_space_group_name_H-M_alt 'C 1 2/m 1'
_space_group_IT_number 12
loop_
_space_group_symop_operation_xyz
'x,y,z'
'-x,-y,-z'
'-x,y,-z'
'x,-y,z'
'x+1/2,y+1/2,z'
'-x+1/2,-y+1/2,-z'
'-x+1/2,y+1/2,-z'
'x+1/2,-y+1/2,z'
loop_
_atom_site_label
_atom_site_type_symbol
_atom_site_fract_x
_atom_site_fract_y
_atom_site_fract_z
Cs1 Cs 0.000 0.222 0.000
Sm1 Sm 0.238 0.000 0.544
I1 I 0.000 0.000 0.500
I2 I 0.054 0.500 0.297
I3 I 0.225 0.286 0.735


# 12
# PBE CsSmI4, relaxed
# Magnetic moment (μB/f.u.): 0.00
# Energy relative to the elements, uncorrected (eV/f.u.): -8.58
# Calculated volume (Å³/atom): 65.08
data_CsSmI4
_chemical_formula_sum 'Cs4 Sm4 I16'
_cell_length_a 21.559
_cell_length_b 6.284
_cell_length_c 11.864
_cell_angle_alpha 90.00
_cell_angle_beta 103.65
_cell_angle_gamma 90.00
_space_group_name_H-M_alt 'C 1 2/m 1'
_space_group_IT_number 12
loop_
_space_group_symop_operation_xyz
'x,y,z'
'-x,-y,-z'
'-x,y,-z'
'x,-y,z'
'x+1/2,y+1/2,z'
'-x+1/2,-y+1/2,-z'
'-x+1/2,y+1/2,-z'
'x+1/2,-y+1/2,z'
loop_
_atom_site_label
_atom_site_type_symbol
_atom_site_fract_x
_atom_site_fract_y
_atom_site_fract_z
Cs1 Cs 0.220 0.000 0.224
Sm1 Sm 0.098 0.000 0.636
I1 I 0.047 0.000 0.361
I2 I 0.095 0.500 0.631
I3 I 0.153 0.000 0.893
I4 I 0.231 0.000 0.593


# 13
# PBE Cs3Sm2I9, relaxed
# Magnetic moment (μB/f.u.): 0.00
# Energy relative to the elements, uncorrected (eV/f.u.): -20.95
# Calculated volume (Å³/atom): 51.74
data_Cs3Sm2I9
_chemical_formula_sum 'Cs6 Sm4 I18'
_cell_length_a 8.6655
_cell_length_b 8.6655
_cell_length_c 22.2781
_cell_angle_alpha 90.00
_cell_angle_beta 90.00
_cell_angle_gamma 120.00
_space_group_name_H-M_alt 'P 63/m m c'
_space_group_IT_number 194
_space_group_name_Hall '-P 6c 2c'
loop_
_atom_site_label
_atom_site_type_symbol
_atom_site_fract_x
_atom_site_fract_y
_atom_site_fract_z
Cs1 Cs 0.0000 0.0000 0.2500
Cs2 Cs 0.3333 0.6667 0.0616
Sm1 Sm 0.3333 0.6667 0.6561
I1 I 0.0093 0.5046 0.7500
I2 I 0.1634 0.3268 0.5853


# 14
# PBE Cs5Sm2I12, relaxed
# Magnetic moment (μB/f.u.): 1.07
# Energy relative to the elements, uncorrected (eV/f.u.): -26.06
# Calculated volume (Å³/atom): 60.55
data_Cs5Sm2I12
_chemical_formula_sum 'Cs10 Sm4 I24'
_cell_length_a 21.365
_cell_length_b 8.999
_cell_length_c 12.600
_cell_angle_alpha 90.00
_cell_angle_beta 108.23
_cell_angle_gamma 90.00
_space_group_name_H-M_alt 'C 1 2/m 1'
_space_group_IT_number 12
loop_
_space_group_symop_operation_xyz
'x,y,z'
'-x,-y,-z'
'-x,y,-z'
'x,-y,z'
'x+1/2,y+1/2,z'
'-x+1/2,-y+1/2,-z'
'-x+1/2,y+1/2,-z'
'x+1/2,-y+1/2,z'
loop_
_atom_site_label
_atom_site_type_symbol
_atom_site_fract_x
_atom_site_fract_y
_atom_site_fract_z
Cs1 Cs 0.000 0.000 0.000
Cs2 Cs 0.191 0.500 0.343
Cs3 Cs 0.204 0.500 0.856
Sm1 Sm 0.000 0.249 0.500
I1 I 0.003 0.000 0.674
I2 I 0.003 0.500 0.676
I3 I 0.146 0.276 0.071
I4 I 0.150 0.253 0.573


# 15
# PBE CsSm2I6, relaxed
# Magnetic moment (μB/f.u.): 1.04
# Energy relative to the elements, uncorrected (eV/f.u.): -12.31
# Calculated volume (Å³/atom): 54.23
data_CsSm2I6
_chemical_formula_sum 'Cs1 Sm2 I6'
_cell_length_a 7.8231
_cell_length_b 7.8231
_cell_length_c 9.2083
_cell_angle_alpha 90.00
_cell_angle_beta 90.00
_cell_angle_gamma 120.00
_space_group_name_H-M_alt 'P -3 1 m'
_space_group_IT_number 162
_space_group_name_Hall '-P 3 2'
loop_
_atom_site_label
_atom_site_type_symbol
_atom_site_fract_x
_atom_site_fract_y
_atom_site_fract_z
Cs1 Cs 0.0000 0.0000 0.0000
Sm1 Sm 0.3333 0.6667 0.5000
I1 I 0.0000 0.3555 0.7017


# 16
# PBE CsSmI4, relaxed
# Magnetic moment (μB/f.u.): 0.00
# Energy relative to the elements, uncorrected (eV/f.u.): -8.80
# Calculated volume (Å³/atom): 68.46
data_CsSmI4
_chemical_formula_sum 'Cs4 Sm4 I16'
_cell_length_a 11.515
_cell_length_b 18.379
_cell_length_c 8.086
_cell_angle_alpha 90.00
_cell_angle_beta 106.23
_cell_angle_gamma 90.00
_space_group_name_H-M_alt 'C 1 2/c 1'
_space_group_IT_number 15
loop_
_space_group_symop_operation_xyz
'x,y,z'
'-x,-y,-z'
'-x,y,-z+1/2'
'x,-y,z+1/2'
'x+1/2,y+1/2,z'
'-x+1/2,-y+1/2,-z'
'-x+1/2,y+1/2,-z+1/2'
'x+1/2,-y+1/2,z+1/2'
loop_
_atom_site_label
_atom_site_type_symbol
_atom_site_fract_x
_atom_site_fract_y
_atom_site_fract_z
Cs1 Cs 0.000 0.245 0.250
Sm1 Sm 0.000 0.066 0.750
I1 I 0.153 0.058 0.137
I2 I 0.177 0.180 0.702


# 17
# PBE Cs3Sm2I8, relaxed
# Magnetic moment (μB/f.u.): 1.00
# Energy relative to the elements, uncorrected (eV/f.u.): -17.35
# Calculated volume (Å³/atom): 60.29
data_Cs3Sm2I8
_chemical_formula_sum 'Cs6 Sm4 I16'
_cell_length_a 16.344
_cell_length_b 9.587
_cell_length_c 11.193
_cell_angle_alpha 90.00
_cell_angle_beta 116.65
_cell_angle_gamma 90.00
_space_group_name_H-M_alt 'C 1 2/m 1'
_space_group_IT_number 12
loop_
_space_group_symop_operation_xyz
'x,y,z'
'-x,-y,-z'
'-x,y,-z'
'x,-y,z'
'x+1/2,y+1/2,z'
'-x+1/2,-y+1/2,-z'
'-x+1/2,y+1/2,-z'
'x+1/2,-y+1/2,z'
loop_
_atom_site_label
_atom_site_type_symbol
_atom_site_fract_x
_atom_site_fract_y
_atom_site_fract_z
Cs1 Cs 0.000 0.000 0.000
Cs2 Cs 0.181 0.000 0.626
Sm1 Sm 0.075 0.500 0.705
I1 I 0.015 0.222 0.314
I2 I 0.159 0.500 0.007
I3 I 0.245 0.500 0.668


# 18
# PBE Cs6Sm3I14, relaxed
# Magnetic moment (μB/f.u.): 1.20
# Energy relative to the elements, uncorrected (eV/f.u.): -32.62
# Calculated volume (Å³/atom): 56.67
data_Cs6Sm3I14
_chemical_formula_sum 'Cs6 Sm3 I14'
_cell_length_a 14.0501
_cell_length_b 14.0501
_cell_length_c 7.6243
_cell_angle_alpha 90.00
_cell_angle_beta 90.00
_cell_angle_gamma 120.00
_space_group_name_H-M_alt 'P 3'
_space_group_IT_number 143
loop_
_space_group_symop_operation_xyz
'x,y,z'
'-y,x-y,z'
'-x+y,-x,z'
loop_
_atom_site_label
_atom_site_type_symbol
_atom_site_fract_x
_atom_site_fract_y
_atom_site_fract_z
Cs1 Cs 0.0249 0.4603 0.0000
Cs2 Cs 0.3063 0.2077 0.4857
Sm1 Sm 0.0000 0.0000 0.0688
Sm2 Sm 0.3333 0.6667 0.5808
Sm3 Sm 0.6667 0.3333 0.7321
I1 I 0.0000 0.0000 0.6766
I2 I 0.0755 0.2263 0.2046
I3 I 0.1850 0.7451 0.7133
I4 I 0.3333 0.6667 0.1884
I5 I 0.4544 0.2585 0.9583
I6 I 0.5278 0.1208 0.5079


# 19
# PBE Cs2SmI4, relaxed
# Magnetic moment (μB/f.u.): 0.56
# Energy relative to the elements, uncorrected (eV/f.u.): -9.54
# Calculated volume (Å³/atom): 52.66
data_Cs2SmI4
_chemical_formula_sum 'Cs4 Sm2 I8'
_cell_length_a 6.160
_cell_length_b 6.160
_cell_length_c 19.427
_cell_angle_alpha 90.00
_cell_angle_beta 90.00
_cell_angle_gamma 90.00
_space_group_name_H-M_alt 'I 4/m m m'
_space_group_IT_number 139
_space_group_name_Hall '-I 4 2'
loop_
_atom_site_label
_atom_site_type_symbol
_atom_site_fract_x
_atom_site_fract_y
_atom_site_fract_z
Cs1 Cs 0.000 0.000 0.138
Sm1 Sm 0.000 0.000 0.500
I1 I 0.000 0.000 0.337
I2 I 0.000 0.500 0.000


# 20
# PBE Cs2SmI5, relaxed
# Magnetic moment (μB/f.u.): 0.00
# Energy relative to the elements, uncorrected (eV/f.u.): -12.00
# Calculated volume (Å³/atom): 48.52
data_Cs2SmI5
_chemical_formula_sum 'Cs8 Sm4 I20'
_cell_length_a 15.332
_cell_length_b 10.176
_cell_length_c 9.951
_cell_angle_alpha 90.00
_cell_angle_beta 90.00
_cell_angle_gamma 90.00
_space_group_name_H-M_alt 'P n m a'
_space_group_IT_number 62
loop_
_space_group_symop_operation_xyz
'x,y,z'
'-x,-y,-z'
'-x+1/2,-y,z+1/2'
'x+1/2,y,-z+1/2'
'x+1/2,-y+1/2,-z+1/2'
'-x+1/2,y+1/2,z+1/2'
'-x,y+1/2,-z'
'x,-y+1/2,z'
loop_
_atom_site_label
_atom_site_type_symbol
_atom_site_fract_x
_atom_site_fract_y
_atom_site_fract_z
Cs1 Cs 0.169 0.013 0.094
Sm1 Sm 0.006 0.250 0.573
I1 I 0.016 0.250 0.894
I2 I 0.055 0.549 0.665
I3 I 0.184 0.250 0.419
I4 I 0.193 0.750 0.369